VASP calculation (PBE) on a geometry-optimized Th2MnBe3Ni12 structure.

- Crystal system: trigonal
- Magnetization: 12.193 Bohr magnetons per cell
- ΔE_f: 143 meV/atom
- D(E_F): 0.512 states/eV/atom

a = 7.3480 Å, b = 7.3480 Å, c = 16.6489 Å
α = 90.00°, β = 90.00°, γ = 120.00°
Space group R-3m (No. 166, hexagonal axes)
Symmetry-distinct sites (fractional):
Th (0.0000, 0.0000, 0.1095)
Mn (0.0000, 0.0000, 0.5000)
Be (0.0000, 0.5000, 0.0000)
Ni (0.0145, 0.5073, 0.8749)
Ni (0.0370, 0.5185, 0.3669)